# ScMnPt PBE optimized geometry
data_ScMnPt
_chemical_formula_sum 'Sc1 Mn1 Pt1'
_cell_length_a 5.109
_cell_length_b 5.109
_cell_length_c 3.388
_cell_angle_alpha 70.63
_cell_angle_beta 70.64
_cell_angle_gamma 38.73
_symmetry_space_group_name_H-M 'P 1'
_symmetry_Int_Tables_number 1
_symmetry_space_group_name_Hall 'P 1'
loop_
_atom_site_label
_atom_site_type_symbol
_atom_site_fract_x
_atom_site_fract_y
_atom_site_fract_z
_atom_site_occupancy
Pt1 Pt 0.337 0.337 0.663 1
Sc1 Sc 0.674 0.674 0.326 1
Mn1 Mn 0.988 0.988 0.012 1
# electronic total energy: -7.68 eV per atom
# total magnetization: 1.355 μB per atom